Record 1
This record from Alexandria describes a relaxed structure of HfPbBr6. The functional is PBE.

The crystal system is trigonal. For the volume, the calculation gives 276.63 Å³ per cell. The energy relative to the lowest polymorph listed for this composition comes out at 0.216 kcal/mol of atoms.

Unit cell a=7.597 b=7.597 c=7.597 alpha=55.36 beta=55.36 gamma=55.36
Fractional coordinates of all 8 atoms:
1 Hf 0.000 0.000 0.000
2 Pb 0.500 0.500 0.500
3 Br 0.059 0.393 0.781
4 Br 0.219 0.941 0.607
5 Br 0.393 0.781 0.059
6 Br 0.607 0.219 0.941
7 Br 0.781 0.059 0.393
8 Br 0.941 0.607 0.219


Record 2
This record from Alexandria describes a relaxed structure of Na2CdAgI5. The functional is PBE.

The crystal system is orthorhombic. For the volume, the calculation gives 788.27 Å³ per cell. The calculation puts the calculated total energy at -2.344 eV/atom.

Unit cell a=11.826 b=11.826 c=14.748 alpha=90.00 beta=90.00 gamma=157.53
Fractional coordinates of all 18 atoms:
1 Na 0.083 0.917 0.500
2 Na 0.169 0.831 0.782
3 Na 0.831 0.169 0.282
4 Na 0.917 0.083 0.000
5 Cd 0.438 0.562 0.504
6 Cd 0.562 0.438 0.004
7 Ag 0.245 0.755 0.177
8 Ag 0.755 0.245 0.677
9 I 0.041 0.959 0.119
10 I 0.306 0.694 0.742
11 I 0.327 0.673 0.431
12 I 0.361 0.639 0.127
13 I 0.471 0.529 0.878
14 I 0.529 0.471 0.378
15 I 0.639 0.361 0.627
16 I 0.673 0.327 0.931
17 I 0.694 0.306 0.242
18 I 0.959 0.041 0.619